(1)
The following is a DFT calculation (PBE) of an optimized crystal structure of Tb4Hg2PS.

a b c (Å): 6.7474 3.9177 7.9843
angles (deg): 90.00 106.48 90.00
Positions (direct):
Tb1 0.2350 0.0000 0.2109
Tb2 0.2611 0.5000 0.7889
Tb3 0.7389 0.5000 0.2111
Tb4 0.7650 0.0000 0.7891
Hg1 0.0000 0.0000 0.5000
Hg2 0.5000 0.5000 0.5000
P1 0.0000 0.5000 0.0000
S1 0.5000 0.0000 0.0000

Values from the calculation:
calculated volume = 25.30 Å³/atom
ΔE_f (raw) = -1128 meV/atom



(2)
The following is a DFT calculation (PBE) of an optimized crystal structure of Tb6HgP2S3.

a b c (Å): 9.0087 9.0087 8.1540
angles (deg): 103.02 103.02 25.59
Positions (direct):
Tb1 0.0014 0.0014 0.2701
Tb2 0.3272 0.3272 0.9059
Tb3 0.3303 0.3303 0.4223
Tb4 0.6697 0.6697 0.5777
Tb5 0.6728 0.6728 0.0941
Tb6 0.9986 0.9986 0.7299
Hg1 0.5000 0.5000 0.0000
P1 0.1669 0.1669 0.3346
P2 0.8331 0.8331 0.6654
S1 0.1672 0.1672 0.8320
S2 0.5000 0.5000 0.5000
S3 0.8328 0.8328 0.1680

Values from the calculation:
calculated volume = 23.18 Å³/atom
ΔE_f (raw) = -1608 meV/atom



(3)
The following is a DFT calculation (PBE) of an optimized crystal structure of TcHgPS2.

a b c (Å): 4.5230 4.5230 5.1021
angles (deg): 90.00 90.00 90.00
Positions (direct):
Tc1 0.0000 0.0000 0.0000
Hg1 0.5000 0.5000 0.5000
P1 0.0000 0.0000 0.5000
S1 0.0000 0.5000 0.0000
S2 0.5000 0.0000 0.0000

Values from the calculation:
E above lowest polymorph = 0 kJ/mol of formula units
calculated volume = 20.88 Å³/atom
ΔE_f (raw) = 355 meV/atom



(4)
The following is a DFT calculation (PBE) of an optimized crystal structure of TcHgPS2.

a b c (Å): 4.9752 4.9752 4.9482
angles (deg): 90.00 90.00 90.00
Positions (direct):
Tc1 0.0000 0.0000 0.0000
Hg1 0.5000 0.5000 0.5000
P1 0.5000 0.5000 0.0000
S1 0.0000 0.5000 0.5000
S2 0.5000 0.0000 0.5000

Values from the calculation:
E above lowest polymorph = 577 kJ/mol of formula units
calculated volume = 24.50 Å³/atom
ΔE_f (raw) = 1551 meV/atom



(5)
The following is a DFT calculation (PBE) of an optimized crystal structure of HgTeP2S8.

a b c (Å): 10.2399 10.2399 10.2399
angles (deg): 33.79 33.79 33.79
Positions (direct):
Hg1 0.0000 0.0000 0.0000
Te1 0.5000 0.5000 0.5000
P1 0.2440 0.2440 0.2440
P2 0.7560 0.7560 0.7560
S1 0.0966 0.8003 0.4293
S2 0.1997 0.5707 0.9034
S3 0.3138 0.3138 0.3138
S4 0.4293 0.0966 0.8003
S5 0.5707 0.9034 0.1997
S6 0.6862 0.6862 0.6862
S7 0.8003 0.4293 0.0966
S8 0.9034 0.1997 0.5707

Values from the calculation:
calculated volume = 24.66 Å³/atom
ΔE_f (raw) = 111 meV/atom



(6)
The following is a DFT calculation (PBE) of an optimized crystal structure of HgTePS6.

a b c (Å): 6.8730 6.9953 7.4581
angles (deg): 92.90 106.68 115.48
Positions (direct):
Hg1 0.0000 0.0000 0.0000
Te1 0.1865 0.3742 0.4589
P1 0.9859 0.8323 0.4431
S1 0.0773 0.6774 0.2715
S2 0.2705 0.0976 0.6402
S3 0.3185 0.3404 0.2084
S4 0.6887 0.7004 0.7390
S5 0.7557 0.9253 0.3038
S6 0.8573 0.5967 0.6092

Values from the calculation:
calculated volume = 33.75 Å³/atom
ΔE_f (raw) = -14 meV/atom



(7)
The following is a DFT calculation (PBE) of an optimized crystal structure of TiHgP2S.

a b c (Å): 4.8205 4.8205 4.6249
angles (deg): 90.00 90.00 90.00
Positions (direct):
Ti1 0.0000 0.0000 0.0000
Hg1 0.5000 0.5000 0.5000
P1 0.0000 0.5000 0.0000
P2 0.5000 0.0000 0.0000
S1 0.0000 0.0000 0.5000

Values from the calculation:
E above lowest polymorph = 0 kJ/mol of formula units
calculated volume = 21.49 Å³/atom
ΔE_f (raw) = 108 meV/atom



(8)
The following is a DFT calculation (PBE) of an optimized crystal structure of TiHgP2S.

a b c (Å): 4.8807 4.8807 4.9048
angles (deg): 90.00 90.00 90.00
Positions (direct):
Ti1 0.0000 0.0000 0.0000
Hg1 0.5000 0.5000 0.5000
P1 0.0000 0.5000 0.5000
P2 0.5000 0.0000 0.5000
S1 0.5000 0.5000 0.0000

Values from the calculation:
E above lowest polymorph = 537 kJ/mol of formula units
calculated volume = 23.37 Å³/atom
ΔE_f (raw) = 1220 meV/atom



(9)
The following is a DFT calculation (PBE) of an optimized crystal structure of TlHgP2S.

a b c (Å): 5.2907 5.2907 5.1780
angles (deg): 90.00 90.00 90.00
Positions (direct):
Tl1 0.0000 0.0000 0.0000
Hg1 0.5000 0.5000 0.5000
P1 0.0000 0.5000 0.0000
P2 0.5000 0.0000 0.0000
S1 0.0000 0.0000 0.5000

Values from the calculation:
E above lowest polymorph = 131 kJ/mol of formula units
calculated volume = 28.99 Å³/atom
ΔE_f (raw) = 1213 meV/atom



(10)
The following is a DFT calculation (PBE) of an optimized crystal structure of Tl2HgPS4.

a b c (Å): 6.4453 6.5932 6.6935
angles (deg): 117.48 104.65 103.05
Positions (direct):
Tl1 0.0000 0.0000 0.0000
Tl2 0.2096 0.4890 0.6988
Hg1 0.8323 0.4650 0.2942
P1 0.5116 0.9850 0.5025
S1 0.1947 0.9801 0.5151
S2 0.5323 0.9675 0.1943
S3 0.5452 0.6792 0.4994
S4 0.7758 0.3152 0.8078

Values from the calculation:
calculated volume = 27.98 Å³/atom
ΔE_f (raw) = -235 meV/atom



(11)
The following is a DFT calculation (PBE) of an optimized crystal structure of TlHg2PS4.

a b c (Å): 6.6201 7.7527 8.5846
angles (deg): 90.00 90.00 90.00
Positions (direct):
Tl1 0.0000 0.0000 0.0000
Tl2 0.5000 0.5000 0.5000
Hg1 0.0000 0.5000 0.1873
Hg2 0.0000 0.5000 0.8127
Hg3 0.5000 0.0000 0.3127
Hg4 0.5000 0.0000 0.6873
P1 0.0000 0.0000 0.5000
P2 0.5000 0.5000 0.0000
S1 0.2060 0.1801 0.3416
S2 0.2060 0.8199 0.6584
S3 0.2940 0.3199 0.8416
S4 0.2940 0.6801 0.1584
S5 0.7060 0.3199 0.1584
S6 0.7060 0.6801 0.8416
S7 0.7940 0.1801 0.6584
S8 0.7940 0.8199 0.3416

Values from the calculation:
calculated volume = 27.54 Å³/atom
ΔE_f (raw) = 10 meV/atom



(12)
The following is a DFT calculation (PBE) of an optimized crystal structure of TlHgPS2.

a b c (Å): 5.1529 5.1529 5.3617
angles (deg): 90.00 90.00 90.00
Positions (direct):
Tl1 0.0000 0.0000 0.0000
Hg1 0.5000 0.5000 0.5000
P1 0.0000 0.0000 0.5000
S1 0.0000 0.5000 0.0000
S2 0.5000 0.0000 0.0000

Values from the calculation:
E above lowest polymorph = 137 kJ/mol of formula units
calculated volume = 28.47 Å³/atom
ΔE_f (raw) = 992 meV/atom